Record 1
# VTc2Rh3, optimized geometry, DFT GGA-PBE
# Formation enthalpy at 0 K, meV/atom: -174
# Total energy, eV per atom: -8.825
# Magnetic moment, μB/cell: 0.000
# N(E_F), states/eV/atom: 1.04
data_VTc2Rh3
_cell_length_a 4.357
_cell_length_b 8.181
_cell_length_c 4.745
_cell_angle_alpha 90.00
_cell_angle_beta 90.00
_cell_angle_gamma 90.00
_space_group_name_H-M_alt 'P m m n'
_space_group_IT_number 59
loop_
_space_group_symop_operation_xyz
'x,y,z'
'-x,-y,-z'
'-x+1/2,-y+1/2,z'
'x+1/2,y+1/2,-z'
'x+1/2,-y,-z'
'-x+1/2,y,z'
'-x,y+1/2,-z'
'x,-y+1/2,z'
loop_
_atom_site_label
_atom_site_type_symbol
_atom_site_fract_x
_atom_site_fract_y
_atom_site_fract_z
V1 V 0.250 0.250 0.098
Tc1 Tc 0.250 0.582 0.087
Rh1 Rh 0.250 0.085 0.584
Rh2 Rh 0.250 0.750 0.588

Record 2
# Cs2Na6Cd, optimized geometry, DFT GGA-PBE
# Formation enthalpy at 0 K, meV/atom: 25
# Total energy, eV per atom: -1.146
# Magnetic moment, μB/cell: 0.000
# N(E_F), states/eV/atom: 0.62
data_Cs2Na6Cd
_cell_length_a 7.8136
_cell_length_b 7.8136
_cell_length_c 7.9726
_cell_angle_alpha 90.00
_cell_angle_beta 90.00
_cell_angle_gamma 120.00
_space_group_name_H-M_alt 'P -3 m 1'
_space_group_IT_number 164
_space_group_name_Hall '-P 3 2"'
loop_
_atom_site_label
_atom_site_type_symbol
_atom_site_fract_x
_atom_site_fract_y
_atom_site_fract_z
Cs1 Cs 0.3333 0.6667 0.1398
Na1 Na 0.1642 0.3285 0.6753
Cd1 Cd 0.0000 0.0000 0.0000

Record 3
# Tl5Hg2Pd4, optimized geometry, DFT GGA-PBE
# Formation enthalpy at 0 K, meV/atom: -46
# Total energy, eV per atom: -3.065
# Magnetic moment, μB/cell: 0.000
# N(E_F), states/eV/atom: 0.33
data_Tl5Hg2Pd4
_cell_length_a 21.767
_cell_length_b 3.206
_cell_length_c 7.535
_cell_angle_alpha 90.00
_cell_angle_beta 90.19
_cell_angle_gamma 90.00
_space_group_name_H-M_alt 'C 1 2/m 1'
_space_group_IT_number 12
loop_
_space_group_symop_operation_xyz
'x,y,z'
'-x,-y,-z'
'-x,y,-z'
'x,-y,z'
'x+1/2,y+1/2,z'
'-x+1/2,-y+1/2,-z'
'-x+1/2,y+1/2,-z'
'x+1/2,-y+1/2,z'
loop_
_atom_site_label
_atom_site_type_symbol
_atom_site_fract_x
_atom_site_fract_y
_atom_site_fract_z
Tl1 Tl 0.000 0.000 0.000
Tl2 Tl 0.165 0.500 0.928
Tl3 Tl 0.215 0.500 0.323
Hg1 Hg 0.067 0.500 0.377
Pd1 Pd 0.053 0.500 0.747
Pd2 Pd 0.152 0.000 0.599

Record 4
# TlTe2OsN, optimized geometry, DFT GGA-PBE
# Total energy, eV per atom: -5.407
# Magnetic moment, μB/cell: 0.000
# N(E_F), states/eV/atom: 0.58
# Energy above the most stable polymorph in this dataset, meV per atom: 0.0
# Formation energy without anion corrections, eV per formula unit: 1.2
data_TlTe2OsN
_cell_length_a 5.674
_cell_length_b 5.674
_cell_length_c 3.695
_cell_angle_alpha 90.00
_cell_angle_beta 90.00
_cell_angle_gamma 90.00
_space_group_name_H-M_alt 'P 4/m m m'
_space_group_IT_number 123
_space_group_name_Hall '-P 4 2'
loop_
_atom_site_label
_atom_site_type_symbol
_atom_site_fract_x
_atom_site_fract_y
_atom_site_fract_z
Tl1 Tl 0.000 0.000 0.000
Te1 Te 0.000 0.500 0.500
Os1 Os 0.500 0.500 0.500
N1 N 0.500 0.500 0.000

Record 5
# CaCdAg, optimized geometry, DFT GGA-PBE
# Formation enthalpy at 0 K, meV/atom: 82
# Total energy, eV per atom: -1.840
# Magnetic moment, μB/cell: 0.000
# N(E_F), states/eV/atom: 0.86
data_CaCdAg
_cell_length_a 7.138
_cell_length_b 7.138
_cell_length_c 7.138
_cell_angle_alpha 90.00
_cell_angle_beta 90.00
_cell_angle_gamma 90.00
_space_group_name_H-M_alt 'F -4 3 m'
_space_group_IT_number 216
_space_group_name_Hall 'F -4 2 3'
loop_
_atom_site_label
_atom_site_type_symbol
_atom_site_fract_x
_atom_site_fract_y
_atom_site_fract_z
Ca1 Ca 0.000 0.000 0.000
Cd1 Cd 0.250 0.250 0.250
Ag1 Ag 0.250 0.250 0.750

Record 6
# ScGe, optimized geometry, DFT GGA-PBE
# Formation enthalpy at 0 K, meV/atom: -736
# Total energy, eV per atom: -6.211
# Magnetic moment, μB/cell: 0.000
# N(E_F), states/eV/atom: 0.54
data_ScGe
_cell_length_a 3.957
_cell_length_b 3.957
_cell_length_c 14.941
_cell_angle_alpha 90.00
_cell_angle_beta 90.00
_cell_angle_gamma 90.00
_space_group_name_H-M_alt 'I m m m'
_space_group_IT_number 71
_space_group_name_Hall '-I 2 2'
loop_
_atom_site_label
_atom_site_type_symbol
_atom_site_fract_x
_atom_site_fract_y
_atom_site_fract_z
Sc1 Sc 0.000 0.000 0.000
Sc2 Sc 0.000 0.500 0.326
Ge1 Ge 0.000 0.000 0.500
Ge2 Ge 0.000 0.500 0.141

Record 7
# NaTm2ThS4, optimized geometry, DFT GGA-PBE
# Total energy, eV per atom: -6.097
# Magnetic moment, μB/cell: 0.000
# N(E_F), states/eV/atom: 0.52
# Formation energy without anion corrections, eV per formula unit: -14.6
data_NaTm2ThS4
_cell_length_a 6.842
_cell_length_b 3.875
_cell_length_c 6.866
_cell_angle_alpha 90.00
_cell_angle_beta 108.43
_cell_angle_gamma 90.00
_space_group_name_H-M_alt 'P 1 2/m 1'
_space_group_IT_number 10
loop_
_space_group_symop_operation_xyz
'x,y,z'
'-x,-y,-z'
'-x,y,-z'
'x,-y,z'
loop_
_atom_site_label
_atom_site_type_symbol
_atom_site_fract_x
_atom_site_fract_y
_atom_site_fract_z
Na1 Na 0.000 0.000 0.000
Tm1 Tm 0.500 0.000 0.500
Tm2 Tm 0.500 0.500 0.000
Th1 Th 0.000 0.500 0.500
S1 S 0.265 0.000 0.762
S2 S 0.265 0.500 0.254

Record 8
# Y2Se2F, optimized geometry, DFT GGA-PBE
# Total energy, eV per atom: -6.727
# Magnetic moment, μB/cell: 0.000
# N(E_F), states/eV/atom: 0.32
# Energy above the most stable polymorph in this dataset, meV per atom: 0.0
# Formation energy without anion corrections, eV per formula unit: -11.9
data_Y2Se2F
_cell_length_a 12.560
_cell_length_b 5.694
_cell_length_c 7.790
_cell_angle_alpha 90.00
_cell_angle_beta 121.22
_cell_angle_gamma 90.00
_space_group_name_H-M_alt 'C 1 2/m 1'
_space_group_IT_number 12
loop_
_space_group_symop_operation_xyz
'x,y,z'
'-x,-y,-z'
'-x,y,-z'
'x,-y,z'
'x+1/2,y+1/2,z'
'-x+1/2,-y+1/2,-z'
'-x+1/2,y+1/2,-z'
'x+1/2,-y+1/2,z'
loop_
_atom_site_label
_atom_site_type_symbol
_atom_site_fract_x
_atom_site_fract_y
_atom_site_fract_z
Y1 Y 0.032 0.000 0.282
Y2 Y 0.175 0.500 0.089
Se1 Se 0.048 0.500 0.304
Se2 Se 0.187 0.000 0.116
F1 F 0.123 0.000 0.628